Nb2RuAu after structural relaxation. Source: Alexandria, functional PBE.

Computed properties:
formation enthalpy at 0 K: -0.7 eV/f.u.
total energy: -8.3382 eV/atom
calculated volume: 66.7 Å³/f.u.
N(E_F): 0.659 states/eV per atom

CIF file:
```
data_Nb2RuAu
_chemical_formula_sum 'Nb2 Ru1 Au1'
_cell_length_a 4.047
_cell_length_b 4.047
_cell_length_c 4.071
_cell_angle_alpha 90.00
_cell_angle_beta 90.00
_cell_angle_gamma 90.00
_space_group_name_H-M_alt 'P 4/m m m'
_space_group_IT_number 123
_space_group_name_Hall '-P 4 2'
loop_
_atom_site_label
_atom_site_type_symbol
_atom_site_fract_x
_atom_site_fract_y
_atom_site_fract_z
_atom_site_occupancy
Nb1 Nb 0.000 0.500 0.000 1
Ru1 Ru 0.000 0.000 0.500 1
Au1 Au 0.500 0.500 0.500 1
```